No. 1
# HoThCdIr

Crystalline HoThCdIr at its relaxed geometry (PBE, Alexandria).

It has space group F-43m (No. 216), with a = 7.267 Å, b = 7.267 Å, c = 7.267 Å, α = 90.00°, β = 90.00° and γ = 90.00°. The asymmetric unit holds Ho at (0.000, 0.000, 0.000), Th at (0.000, 0.000, 0.500), Cd at (0.250, 0.250, 0.750) and Ir at (0.250, 0.250, 0.250).

The density of states at the Fermi level is 3.8 states/eV/f.u. The calculation puts the formation energy from the elements at -1.68 eV/f.u. The value obtained for the total energy is -5.8633 eV/atom.

---

No. 2
# TbHo2Zn3

Crystalline TbHo2Zn3 at its relaxed geometry (PBE, Alexandria).

It has space group P-3m1 (No. 164), with a = 5.0391 Å, b = 5.0391 Å, c = 6.1771 Å, α = 90.00°, β = 90.00° and γ = 120.00°. The asymmetric unit holds Tb at (0.0000, 0.0000, 0.0000), Ho at (0.3333, 0.6667, 0.6642), Zn at (0.0000, 0.0000, 0.5000) and Zn at (0.3333, 0.6667, 0.1662).

The density of states at the Fermi level is 7.2 states/eV/f.u. The calculation puts the formation energy from the elements at -2.05 eV/f.u. The value obtained for the total energy is -3.2762 eV/atom.

---

No. 3
# ScSiBr2Cl

Crystalline ScSiBr2Cl at its relaxed geometry (PBE, Alexandria).

It has space group P4/mmm (No. 123), with a = 6.187 Å, b = 6.187 Å, c = 4.548 Å, α = 90.00°, β = 90.00° and γ = 90.00°. The asymmetric unit holds Sc at (0.000, 0.000, 0.000), Si at (0.500, 0.500, 0.000), Br at (0.000, 0.500, 0.500) and Cl at (0.000, 0.000, 0.500).

The density of states at the Fermi level is 4.1 states/eV/f.u. The value obtained for the total energy is -3.1532 eV/atom.

---

No. 4
# SrBeNi2

Crystalline SrBeNi2 at its relaxed geometry (PBE, Alexandria).

It has space group Pm (No. 6), with a = 3.875 Å, b = 3.876 Å, c = 4.837 Å, α = 90.00°, β = 90.13° and γ = 90.00°. The asymmetric unit holds Sr at (0.000, 0.000, 0.000), Be at (0.501, 0.500, 0.356), Ni at (0.002, 0.500, 0.502) and Ni at (0.500, 0.000, 0.502).

The density of states at the Fermi level is 1.4 states/eV/f.u. The calculation puts the formation energy from the elements at 0.38 eV/f.u. The value obtained for the total energy is -4.1486 eV/atom.

---

No. 5
# LiAgTeI2

Crystalline LiAgTeI2 at its relaxed geometry (PBE, Alexandria).

It has space group P4/mmm (No. 123), with a = 5.851 Å, b = 5.851 Å, c = 5.471 Å, α = 90.00°, β = 90.00° and γ = 90.00°. The asymmetric unit holds Li at (0.000, 0.000, 0.000), Ag at (0.500, 0.500, 0.500), Te at (0.500, 0.500, 0.000) and I at (0.000, 0.500, 0.500).

The density of states at the Fermi level is 5.1 states/eV/f.u. The value obtained for the total energy is -2.2515 eV/atom.

---

No. 6
# LaTaTl2

Crystalline LaTaTl2 at its relaxed geometry (PBE, Alexandria).

It has space group P4mm (No. 99), with a = 5.716 Å, b = 5.716 Å, c = 3.224 Å, α = 90.00°, β = 90.00° and γ = 90.00°. The asymmetric unit holds La at (0.000, 0.000, 0.000), Ta at (0.500, 0.500, 0.347) and Tl at (0.000, 0.500, 0.533).

The density of states at the Fermi level is 2.7 states/eV/f.u. The calculation puts the formation energy from the elements at 1.50 eV/f.u. The value obtained for the total energy is -5.0023 eV/atom.